Cs4Nd3PaSe8 after structural relaxation. Source: Alexandria, functional PBE.

Structure (CIF):
```
data_Cs4Nd3PaSe8
_chemical_formula_sum 'Cs12 Nd9 Pa3 Se24'
_space_group_name_H-M_alt 'R -3 m'
_space_group_IT_number 166
_space_group_name_Hall '-R 3 2"'
_cell_length_a 8.7394
_cell_length_b 8.7394
_cell_length_c 25.2680
_cell_angle_alpha 90.00
_cell_angle_beta 90.00
_cell_angle_gamma 120.00
loop_
_atom_site_label
_atom_site_fract_x
_atom_site_fract_y
_atom_site_fract_z
Cs1 0.0000 0.0000 0.0000
Cs2 0.0000 0.5000 0.0000
Nd1 0.0000 0.5000 0.5000
Pa1 0.0000 0.0000 0.5000
Se1 0.0000 0.0000 0.2308
Se2 0.0087 0.5044 0.2299
```

Output
calculated volume = 34.82 Å³ per atom
formation energy from raw total energies = -1.61 eV per atom
VASP energy = -5.051 eV per atom
density = 5.45 g/cm3



Cs3Nd3PaSe8 after structural relaxation. Source: Alexandria, functional PBE.

Structure (CIF):
```
data_Cs3Nd3PaSe8
_chemical_formula_sum 'Cs9 Nd9 Pa3 Se24'
_space_group_name_H-M_alt 'R -3 m'
_space_group_IT_number 166
_space_group_name_Hall '-R 3 2"'
_cell_length_a 8.6845
_cell_length_b 8.6845
_cell_length_c 25.6363
_cell_angle_alpha 90.00
_cell_angle_beta 90.00
_cell_angle_gamma 120.00
loop_
_atom_site_label
_atom_site_fract_x
_atom_site_fract_y
_atom_site_fract_z
Cs1 0.0000 0.5000 0.0000
Nd1 0.0000 0.5000 0.5000
Pa1 0.0000 0.0000 0.5000
Se1 0.0000 0.0000 0.2299
Se2 0.0109 0.5054 0.2280
```

Output
calculated volume = 37.21 Å³ per atom
formation energy from raw total energies = -1.67 eV per atom
VASP energy = -5.289 eV per atom
density = 5.04 g/cm3



Cs2NdPaSe4 after structural relaxation. Source: Alexandria, functional PBE.

Structure (CIF):
```
data_Cs2NdPaSe4
_chemical_formula_sum 'Cs2 Nd1 Pa1 Se4'
_space_group_name_H-M_alt 'P 1 2/m 1'
_space_group_IT_number 10
_cell_length_a 7.4932
_cell_length_b 4.3064
_cell_length_c 8.8138
_cell_angle_alpha 90.00
_cell_angle_beta 106.28
_cell_angle_gamma 90.00
loop_
_space_group_symop_operation_xyz
'x,y,z'
'-x,-y,-z'
'-x,y,-z'
'x,-y,z'
loop_
_atom_site_label
_atom_site_fract_x
_atom_site_fract_y
_atom_site_fract_z
Cs1 0.0000 0.0000 0.0000
Cs2 0.5000 0.5000 0.0000
Nd1 0.0000 0.5000 0.5000
Pa1 0.5000 0.0000 0.5000
Se1 0.2399 0.0000 0.6917
Se2 0.2778 0.5000 0.3102
```

Output
calculated volume = 34.13 Å³ per atom
formation energy from raw total energies = -1.49 eV per atom
VASP energy = -5.232 eV per atom
density = 5.82 g/cm3



Cs2Nd2PaSe6 after structural relaxation. Source: Alexandria, functional PBE.

Structure (CIF):
```
data_Cs2Nd2PaSe6
_chemical_formula_sum 'Cs4 Nd4 Pa2 Se12'
_space_group_name_H-M_alt 'C 1 2/m 1'
_space_group_IT_number 12
_cell_length_a 7.4731
_cell_length_b 12.8850
_cell_length_c 8.9657
_cell_angle_alpha 90.00
_cell_angle_beta 106.54
_cell_angle_gamma 90.00
loop_
_space_group_symop_operation_xyz
'x,y,z'
'-x,-y,-z'
'-x,y,-z'
'x,-y,z'
'x+1/2,y+1/2,z'
'-x+1/2,-y+1/2,-z'
'-x+1/2,y+1/2,-z'
'x+1/2,-y+1/2,z'
loop_
_atom_site_label
_atom_site_fract_x
_atom_site_fract_y
_atom_site_fract_z
Cs1 0.0000 0.1696 0.0000
Nd1 0.0000 0.3335 0.5000
Pa1 0.0000 0.0000 0.5000
Se1 0.2240 0.1610 0.6852
Se2 0.2428 0.5000 0.6847
```

Output
calculated volume = 37.62 Å³ per atom
formation energy from raw total energies = -1.66 eV per atom
VASP energy = -5.443 eV per atom
density = 5.05 g/cm3



Cs3Nd3PaTe8 after structural relaxation. Source: Alexandria, functional PBE.

Structure (CIF):
```
data_Cs3Nd3PaTe8
_chemical_formula_sum 'Cs9 Nd9 Pa3 Te24'
_space_group_name_H-M_alt 'R -3 m'
_space_group_IT_number 166
_space_group_name_Hall '-R 3 2"'
_cell_length_a 9.2049
_cell_length_b 9.2049
_cell_length_c 27.3719
_cell_angle_alpha 90.00
_cell_angle_beta 90.00
_cell_angle_gamma 120.00
loop_
_atom_site_label
_atom_site_fract_x
_atom_site_fract_y
_atom_site_fract_z
Cs1 0.0000 0.5000 0.0000
Nd1 0.0000 0.5000 0.5000
Pa1 0.0000 0.0000 0.5000
Te1 0.0000 0.0000 0.2317
Te2 0.0079 0.5040 0.2300
```

Output
calculated volume = 44.63 Å³ per atom
formation energy from raw total energies = -1.30 eV per atom
VASP energy = -4.735 eV per atom
density = 5.17 g/cm3



Cs3NdPa3Te8 after structural relaxation. Source: Alexandria, functional PBE.

Structure (CIF):
```
data_Cs3NdPa3Te8
_chemical_formula_sum 'Cs9 Nd3 Pa9 Te24'
_space_group_name_H-M_alt 'R -3 m'
_space_group_IT_number 166
_space_group_name_Hall '-R 3 2"'
_cell_length_a 8.9168
_cell_length_b 8.9168
_cell_length_c 27.6800
_cell_angle_alpha 90.00
_cell_angle_beta 90.00
_cell_angle_gamma 120.00
loop_
_atom_site_label
_atom_site_fract_x
_atom_site_fract_y
_atom_site_fract_z
Cs1 0.0000 0.5000 0.0000
Nd1 0.0000 0.0000 0.5000
Pa1 0.0000 0.5000 0.5000
Te1 0.0000 0.0000 0.2316
Te2 0.0097 0.5048 0.7682
```

Output
calculated volume = 42.35 Å³ per atom
formation energy from raw total energies = -1.04 eV per atom
VASP energy = -5.103 eV per atom
density = 5.90 g/cm3